A relaxed Tm2AgS3 crystal. Source: OQMD via LeMat-Bulk, functional PBE.

Unit cell a=10.029 b=3.782 c=12.932 alpha=90.00 beta=90.00 gamma=90.00
Positions (direct):
S 0.962 0.250 0.605
S 0.096 0.250 0.895
Ag 0.275 0.250 0.762
Tm 0.783 0.750 0.524
S 0.734 0.250 0.370
Ag 0.225 0.750 0.262
S 0.596 0.250 0.605
Ag 0.725 0.750 0.238
S 0.904 0.750 0.105
S 0.266 0.750 0.630
Tm 0.717 0.250 0.024
Tm 0.975 0.250 0.247
S 0.234 0.250 0.130
S 0.766 0.750 0.870
Tm 0.217 0.250 0.476
S 0.404 0.750 0.395
Ag 0.775 0.250 0.738
Tm 0.475 0.250 0.253
S 0.538 0.750 0.105
Tm 0.283 0.750 0.976
S 0.462 0.250 0.895
Tm 0.525 0.750 0.747
S 0.038 0.750 0.395
Tm 0.025 0.750 0.753

Calculated values
ΔE to the lowest computed polymorph (eV/atom): 0.041